A relaxed structure of Sm2Co2O5, computed with PBE with a Hubbard U.

a = 8.5572 Å, b = 8.5572 Å, c = 8.5572 Å
α = 142.83°, β = 140.64°, γ = 55.24°
Positions (direct):
Co: 0.0000 0.0054 0.0054
Co: 0.5000 0.5054 0.0054
Co: 0.6920 0.7141 0.9060
Co: 0.3080 0.2141 0.0221
O: 0.2840 0.2680 0.5053
O: 0.7160 0.2213 0.9840
O: 0.2627 0.7680 0.9840
O: 0.7373 0.7213 0.5053
O: 0.9540 0.9257 0.1650
O: 0.0460 0.2110 0.9717
O: 0.2607 0.4257 0.9717
O: 0.7393 0.7110 0.1650
O: 0.6396 0.3411 0.4807
O: 0.3604 0.8411 0.7016
Sm: 0.9126 0.3780 0.5121
Sm: 0.0874 0.5995 0.4654
Sm: 0.3659 0.8780 0.4654
Sm: 0.6341 0.0995 0.5121

Calculated values
size of the total moment: 12.00 μB/cell
total energy: -7.218 eV per atom
space-group type: No. 46